This record from Alexandria via LeMat-Bulk describes a geometry-optimized SiIr2Br structure. The functional is PBE.

As for the crystal system: orthorhombic. For the formation energy without anion corrections, the calculation gives 0.191 eV/atom.

The structure in CIF format:
```
data_SiIr2Br
_cell_length_a 3.0169
_cell_length_b 3.4919
_cell_length_c 13.2950
_cell_angle_alpha 90.00
_cell_angle_beta 90.00
_cell_angle_gamma 90.00
_symmetry_space_group_name_H-M 'I m m 2'
_symmetry_Int_Tables_number 44
loop_
_symmetry_equiv_pos_as_xyz
'x,y,z'
'-x,-y,z'
'-x,y,z'
'x,-y,z'
'x+1/2,y+1/2,z+1/2'
'-x+1/2,-y+1/2,z+1/2'
'-x+1/2,y+1/2,z+1/2'
'x+1/2,-y+1/2,z+1/2'
loop_
_atom_site_label
_atom_site_type_symbol
_atom_site_fract_x
_atom_site_fract_y
_atom_site_fract_z
Si1 Si 0.0000 0.0000 0.0000
Ir1 Ir 0.0000 0.0000 0.4305
Ir2 Ir 0.0000 0.5000 0.1135
Br1 Br 0.0000 0.5000 0.7586
```